# Li2FeF8 (PBE+U, relaxed)
data_Li2FeF8
_cell_length_a 8.7056
_cell_length_b 8.4696
_cell_length_c 4.8655
_cell_angle_alpha 90.00
_cell_angle_beta 114.79
_cell_angle_gamma 90.00
_symmetry_space_group_name_H-M 'C 1 2/m 1'
_symmetry_Int_Tables_number 12
loop_
_symmetry_equiv_pos_as_xyz
'x,y,z'
'-x,-y,-z'
'-x,y,-z'
'x,-y,z'
'x+1/2,y+1/2,z'
'-x+1/2,-y+1/2,-z'
'-x+1/2,y+1/2,-z'
'x+1/2,-y+1/2,z'
loop_
_atom_site_label
_atom_site_fract_x
_atom_site_fract_y
_atom_site_fract_z
Li1 0.2067 0.0000 0.1654
Fe1 0.0000 0.5000 0.0000
F1 0.0039 0.0000 0.7986
F2 0.1203 0.3536 0.9083
F3 0.1560 0.5000 0.3831
# * final energy: -4.103 eV/atom
# * density of states at the Fermi level: 2.7 states/eV/f.u.
# * magnetization: 0.366 μB/atom